Below is a geometry-optimized BeNiAs structure, with properties calculated at the PBEsol level.

a = 3.754 Å, b = 3.754 Å, c = 3.754 Å
α = 60.00°, β = 60.00°, γ = 60.00°
Element x y z (fractional)
1 Ni 0.250 0.250 0.250
2 As 0.000 0.000 0.000
3 Be 0.500 0.500 0.500

Properties
- theoretical density (g/cm3) = 6.3
- spin magnetization (μB/cell) = 0.00
- energy of formation from the pure elements (meV/atom) = -285